No. 1
Compound: TaTe2Ru2
Source: Alexandria
Functional: meta-GGA SCAN
Structure: PBEsol geometry

Its uncorrected formation energy is 64.1 kJ per mole of atoms. Its density is 11019 kg/m³. The total DFT energy (no corrections) comes out at -414.84 eV per cell.

a = 3.442 Å, b = 3.442 Å, c = 16.242 Å
α = 90.00°, β = 90.00°, γ = 90.00°
Space group I4/mmm (No. 139)
Inequivalent atoms, fractional coordinates:
1 Ta 0.000 0.000 0.000 x2
2 Te 0.000 0.000 0.398 x4
3 Ru 0.000 0.500 0.250 x4

***

No. 2
Compound: MnAs
Source: Alexandria
Functional: meta-GGA SCAN
Structure: PBEsol geometry

Its density is 7588 kg/m³. The total DFT energy (no corrections) comes out at -154.75 eV per cell. The value obtained for the formation enthalpy at 0 K is -0.121 eV/atom.

a = 3.268 Å, b = 4.088 Å, c = 8.507 Å
α = 90.00°, β = 90.00°, γ = 90.00°
Space group Imma (No. 74)
Inequivalent atoms, fractional coordinates:
1 Mn 0.000 0.250 0.112 x4
2 As 0.000 0.250 0.613 x4

***

No. 3
Compound: InPt3F
Source: Alexandria
Functional: meta-GGA SCAN
Structure: PBEsol geometry

Its uncorrected formation energy is 133.9 kJ per mole of atoms. Its density is 10047 kg/m³. The total DFT energy (no corrections) comes out at -240.57 eV per cell.

a = 4.917 Å, b = 4.917 Å, c = 4.917 Å
α = 90.00°, β = 90.00°, γ = 90.00°
Space group Pm-3m (No. 221)
Inequivalent atoms, fractional coordinates:
1 In 0.000 0.000 0.000 x1
2 Pt 0.000 0.000 0.500 x3
3 F 0.500 0.500 0.500 x1

***

No. 4
Compound: YAlMo2
Source: Alexandria
Functional: meta-GGA SCAN
Structure: PBEsol geometry

Its density is 7315 kg/m³. The total DFT energy (no corrections) comes out at -104.33 eV per cell. The value obtained for the formation enthalpy at 0 K is 0.260 eV/atom.

a = 2.791 Å, b = 2.791 Å, c = 8.966 Å
α = 90.00°, β = 90.00°, γ = 90.00°
Space group P4/mmm (No. 123)
Inequivalent atoms, fractional coordinates:
1 Y 0.000 0.000 0.000 x1
2 Al 0.000 0.000 0.500 x1
3 Mo 0.500 0.500 0.283 x2

***

No. 5
Compound: BeAu3
Source: Alexandria
Functional: meta-GGA SCAN
Structure: PBEsol geometry

Its density is 16624 kg/m³. The total DFT energy (no corrections) comes out at -424.94 eV per cell. The value obtained for the formation enthalpy at 0 K is -0.161 eV/atom.

a = 3.017 Å, b = 4.375 Å, c = 9.078 Å
α = 90.00°, β = 90.00°, γ = 90.00°
Space group Immm (No. 71)
Inequivalent atoms, fractional coordinates:
1 Be 0.000 0.000 0.000 x2
2 Au 0.000 0.000 0.500 x2
3 Au 0.000 0.500 0.300 x4

***

No. 6
Compound: AuICl2
Source: Alexandria
Functional: meta-GGA SCAN
Structure: PBEsol geometry

Its uncorrected formation energy is 58.1 kJ per mole of atoms. Its density is 7307 kg/m³. The total DFT energy (no corrections) comes out at -477.78 eV per cell. For the offset from the most stable computed form, the calculation gives 0.498 eV/atom.

a = 7.106 Å, b = 7.106 Å, c = 7.106 Å
α = 90.00°, β = 90.00°, γ = 90.00°
Space group Fm-3m (No. 225)
Inequivalent atoms, fractional coordinates:
1 Au 0.000 0.000 0.000 x4
2 I 0.000 0.000 0.500 x4
3 Cl 0.250 0.250 0.250 x8

***

No. 7
Compound: ZrAg3
Source: Alexandria
Functional: meta-GGA SCAN
Structure: PBEsol geometry

Its density is 9719 kg/m³. The total DFT energy (no corrections) comes out at -249.79 eV per cell. The value obtained for the formation enthalpy at 0 K is -0.023 eV/atom.

a = 4.356 Å, b = 4.356 Å, c = 7.469 Å
α = 90.00°, β = 90.00°, γ = 90.00°
Space group I4/mmm (No. 139)
Inequivalent atoms, fractional coordinates:
1 Zr 0.000 0.000 0.000 x2
2 Ag 0.000 0.000 0.500 x2
3 Ag 0.000 0.500 0.250 x4

***

No. 8
Compound: LaAgAs2
Source: Alexandria
Functional: meta-GGA SCAN
Structure: PBEsol geometry

Its density is 7193 kg/m³. The total DFT energy (no corrections) comes out at -344.94 eV per cell. The value obtained for the formation enthalpy at 0 K is -0.032 eV/atom.

a = 3.5790 Å, b = 3.5790 Å, c = 24.7624 Å
α = 90.00°, β = 90.00°, γ = 120.00°
Space group R3m (No. 160, hexagonal axes)
Inequivalent atoms, fractional coordinates:
1 La 0.0000 0.0000 0.0000 x3
2 Ag 0.0000 0.0000 0.7663 x3
3 As 0.0000 0.0000 0.2370 x3
4 As 0.0000 0.0000 0.5080 x3

***

No. 9
Compound: HgSb2Te
Source: Alexandria
Functional: meta-GGA SCAN
Structure: PBEsol geometry

Its uncorrected formation energy is 2.5 kJ per mole of atoms. Its density is 8410 kg/m³. The total DFT energy (no corrections) comes out at -179.83 eV per cell. For the offset from the most stable computed form, the calculation gives 0.028 eV/atom.

a = 3.129 Å, b = 6.102 Å, c = 5.912 Å
α = 90.00°, β = 90.45°, γ = 90.00°
Space group Pm (No. 6)
Inequivalent atoms, fractional coordinates:
1 Hg 0.000 0.000 0.000 x1
2 Sb 0.054 0.000 0.500 x1
3 Sb 0.959 0.500 0.499 x1
4 Te 0.839 0.500 0.000 x1

***

No. 10
Compound: Cr2Rh
Source: Alexandria
Functional: meta-GGA SCAN
Structure: PBEsol geometry

Its density is 9601 kg/m³. The total DFT energy (no corrections) comes out at -564.83 eV per cell. The value obtained for the formation enthalpy at 0 K is -0.021 eV/atom.

a = 4.6560 Å, b = 4.6560 Å, c = 15.2480 Å
α = 90.00°, β = 90.00°, γ = 120.00°
Space group P6_3/mmc (No. 194)
Inequivalent atoms, fractional coordinates:
1 Cr 0.0000 0.5000 0.0000 x6
2 Cr 0.1634 0.3269 0.2500 x6
3 Cr 0.3333 0.6667 0.1260 x4
4 Rh 0.0000 0.0000 0.0933 x4
5 Rh 0.3333 0.6667 0.6558 x4

***

No. 11
Compound: FeHg2Ir
Source: Alexandria
Functional: meta-GGA SCAN
Structure: PBEsol geometry

Its density is 16207 kg/m³. The total DFT energy (no corrections) comes out at -224.61 eV per cell. The value obtained for the formation enthalpy at 0 K is 0.238 eV/atom. For the offset from the most stable computed form, the calculation gives 0.000 eV/atom.

a = 2.895 Å, b = 2.895 Å, c = 7.934 Å
α = 90.00°, β = 90.00°, γ = 90.00°
Space group P4mm (No. 99)
Inequivalent atoms, fractional coordinates:
1 Fe 0.000 0.000 0.000 x1
2 Hg 0.000 0.000 0.557 x1
3 Hg 0.500 0.500 0.242 x1
4 Ir 0.500 0.500 0.821 x1

***

No. 12
Compound: Cr2InP
Source: Alexandria
Functional: meta-GGA SCAN
Structure: PBEsol geometry

Its density is 7372 kg/m³. The total DFT energy (no corrections) comes out at -158.38 eV per cell. The value obtained for the formation enthalpy at 0 K is 0.341 eV/atom. For the offset from the most stable computed form, the calculation gives 0.436 eV/atom.

a = 5.932 Å, b = 5.945 Å, c = 3.191 Å
α = 90.00°, β = 90.00°, γ = 90.00°
Space group Cmmm (No. 65)
Inequivalent atoms, fractional coordinates:
1 Cr 0.250 0.250 0.000 x4
2 In 0.000 0.000 0.500 x2
3 P 0.000 0.500 0.500 x2

***

No. 13
Compound: MoSeBr2
Source: Alexandria
Functional: meta-GGA SCAN
Structure: PBEsol geometry

Its uncorrected formation energy is 57.2 kJ per mole of atoms. Its density is 7151 kg/m³. The total DFT energy (no corrections) comes out at -366.04 eV per cell. For the offset from the most stable computed form, the calculation gives 0.306 eV/atom.

a = 6.774 Å, b = 6.774 Å, c = 6.774 Å
α = 90.00°, β = 90.00°, γ = 90.00°
Space group F-43m (No. 216)
Inequivalent atoms, fractional coordinates:
1 Mo 0.000 0.000 0.000 x4
2 Se 0.250 0.250 0.750 x4
3 Br 0.000 0.000 0.500 x4
4 Br 0.250 0.250 0.250 x4

***

No. 14
Compound: Ba2SiMo
Source: Alexandria
Functional: meta-GGA SCAN
Structure: PBEsol geometry

Its uncorrected formation energy is 68.0 kJ per mole of atoms. Its density is 6210 kg/m³. The total DFT energy (no corrections) comes out at -484.73 eV per cell.

a = 7.527 Å, b = 7.527 Å, c = 7.527 Å
α = 90.00°, β = 90.00°, γ = 90.00°
Space group F-43m (No. 216)
Inequivalent atoms, fractional coordinates:
1 Ba 0.000 0.000 0.000 x4
2 Ba 0.250 0.250 0.250 x4
3 Si 0.000 0.000 0.500 x4
4 Mo 0.250 0.250 0.750 x4

***

No. 15
Compound: Mn2CoHg
Source: Alexandria
Functional: meta-GGA SCAN
Structure: PBEsol geometry

Its density is 11434 kg/m³. The total DFT energy (no corrections) comes out at -121.28 eV per cell. The value obtained for the formation enthalpy at 0 K is 0.175 eV/atom.

a = 2.914 Å, b = 2.914 Å, c = 6.318 Å
α = 90.00°, β = 90.00°, γ = 90.00°
Space group P4mm (No. 99)
Inequivalent atoms, fractional coordinates:
1 Mn 0.000 0.000 0.000 x1
2 Mn 0.500 0.500 0.226 x1
3 Co 0.000 0.000 0.412 x1
4 Hg 0.500 0.500 0.701 x1

***

No. 16
Compound: InFeAs2
Source: Alexandria
Functional: meta-GGA SCAN
Structure: PBEsol geometry

Its density is 7605 kg/m³. The total DFT energy (no corrections) comes out at -182.41 eV per cell. The value obtained for the formation enthalpy at 0 K is 0.173 eV/atom.

a = 2.869 Å, b = 4.487 Å, c = 10.872 Å
α = 90.00°, β = 90.00°, γ = 90.00°
Space group Immm (No. 71)
Inequivalent atoms, fractional coordinates:
1 In 0.000 0.000 0.000 x2
2 Fe 0.000 0.000 0.500 x2
3 As 0.000 0.500 0.177 x4

***

No. 17
Compound: Ba4AlZn
Source: Alexandria
Functional: meta-GGA SCAN
Structure: PBEsol geometry

Its density is 4395 kg/m³. The total DFT energy (no corrections) comes out at -703.82 eV per cell. The value obtained for the formation enthalpy at 0 K is 0.586 eV/atom.

a = 9.898 Å, b = 9.898 Å, c = 9.898 Å
α = 90.00°, β = 90.00°, γ = 90.00°
Space group F-43m (No. 216)
Inequivalent atoms, fractional coordinates:
1 Ba 0.125 0.125 0.125 x16
2 Al 0.250 0.250 0.750 x4
3 Zn 0.000 0.000 0.500 x4

***

No. 18
Compound: AsP2H
Source: Alexandria
Functional: meta-GGA SCAN
Structure: PBEsol geometry

Its density is 4340 kg/m³. The total DFT energy (no corrections) comes out at -162.36 eV per cell.

a = 5.953 Å, b = 5.953 Å, c = 5.953 Å
α = 90.00°, β = 90.00°, γ = 90.00°
Space group Fm-3m (No. 225)
Inequivalent atoms, fractional coordinates:
1 As 0.000 0.000 0.000 x4
2 P 0.250 0.250 0.250 x8
3 H 0.000 0.000 0.500 x4

***

No. 19
Compound: AlTe2W
Source: Alexandria
Functional: meta-GGA SCAN
Structure: PBEsol geometry

Its uncorrected formation energy is 40.3 kJ per mole of atoms. Its density is 8591 kg/m³. The total DFT energy (no corrections) comes out at -450.82 eV per cell.

a = 3.3528 Å, b = 3.3528 Å, c = 27.7570 Å
α = 90.00°, β = 90.00°, γ = 120.00°
Space group R-3m (No. 166, hexagonal axes)
Inequivalent atoms, fractional coordinates:
1 Al 0.0000 0.0000 0.0000 x3
2 Te 0.0000 0.0000 0.2360 x6
3 W 0.0000 0.0000 0.5000 x3

***

No. 20
Compound: BaPrSn2S6
Source: Alexandria
Functional: meta-GGA SCAN
Structure: PBEsol geometry

Its uncorrected formation energy is -129.7 kJ per mole of atoms. Its density is 4989 kg/m³. The total DFT energy (no corrections) comes out at -903.71 eV per cell.

a = 3.998 Å, b = 19.850 Å, c = 11.880 Å
α = 90.00°, β = 90.00°, γ = 90.00°
Space group Pmc2_1 (No. 26)
Inequivalent atoms, fractional coordinates:
1 Ba 0.000 0.079 0.000 x2
2 Ba 0.000 0.363 0.436 x2
3 Pr 0.000 0.122 0.365 x2
4 Pr 0.000 0.419 0.058 x2
5 Sn 0.000 0.255 0.783 x2
6 Sn 0.500 0.092 0.676 x2
7 Sn 0.500 0.250 0.184 x2
8 Sn 0.500 0.423 0.733 x2
9 S 0.000 0.014 0.741 x2
10 S 0.000 0.167 0.603 x2
11 S 0.000 0.261 0.060 x2
12 S 0.000 0.493 0.781 x2
13 S 0.500 0.042 0.478 x2
14 S 0.500 0.121 0.187 x2
15 S 0.500 0.162 0.852 x2
16 S 0.500 0.232 0.389 x2
17 S 0.500 0.316 0.634 x2
18 S 0.500 0.360 0.915 x2
19 S 0.500 0.375 0.222 x2
20 S 0.500 0.476 0.535 x2

***

No. 21
Compound: LiNdAu2
Source: Alexandria
Functional: meta-GGA SCAN
Structure: PBEsol geometry

Its density is 10862 kg/m³. The total DFT energy (no corrections) comes out at -750.22 eV per cell. The value obtained for the formation enthalpy at 0 K is -0.817 eV/atom.

a = 6.934 Å, b = 6.934 Å, c = 6.934 Å
α = 90.00°, β = 90.00°, γ = 90.00°
Space group Fm-3m (No. 225)
Inequivalent atoms, fractional coordinates:
1 Li 0.000 0.000 0.000 x4
2 Nd 0.000 0.000 0.500 x4
3 Au 0.250 0.250 0.250 x8

***

No. 22
Compound: SrOsAu2
Source: Alexandria
Functional: meta-GGA SCAN
Structure: PBEsol geometry

Its density is 14868 kg/m³. The total DFT energy (no corrections) comes out at -462.69 eV per cell. The value obtained for the formation enthalpy at 0 K is 0.280 eV/atom. For the offset from the most stable computed form, the calculation gives 0.000 eV/atom.

a = 6.795 Å, b = 6.886 Å, c = 3.207 Å
α = 90.00°, β = 90.00°, γ = 90.00°
Space group Cmmm (No. 65)
Inequivalent atoms, fractional coordinates:
1 Sr 0.000 0.000 0.000 x2
2 Os 0.000 0.500 0.000 x2
3 Au 0.250 0.250 0.500 x4

***

No. 23
Compound: TlCd3
Source: Alexandria
Functional: meta-GGA SCAN
Structure: PBEsol geometry

Its density is 9657 kg/m³. The total DFT energy (no corrections) comes out at -653.18 eV per cell. The value obtained for the formation enthalpy at 0 K is 0.076 eV/atom.

a = 7.511 Å, b = 10.240 Å, c = 4.843 Å
α = 90.00°, β = 90.00°, γ = 90.00°
Space group Cmcm (No. 63)
Inequivalent atoms, fractional coordinates:
1 Tl 0.000 0.128 0.250 x4
2 Cd 0.000 0.318 0.750 x4
3 Cd 0.207 0.408 0.250 x8

***

No. 24
Compound: ZrInOs
Source: Alexandria
Functional: meta-GGA SCAN
Structure: PBEsol geometry

Its density is 10523 kg/m³. The total DFT energy (no corrections) comes out at -537.07 eV per cell. The value obtained for the formation enthalpy at 0 K is 0.566 eV/atom.

a = 6.301 Å, b = 6.301 Å, c = 6.301 Å
α = 90.00°, β = 90.00°, γ = 90.00°
Space group F-43m (No. 216)
Inequivalent atoms, fractional coordinates:
1 Zr 0.000 0.000 0.000 x4
2 In 0.250 0.250 0.250 x4
3 Os 0.000 0.000 0.500 x4

***

No. 25
Compound: TaP2Os
Source: Alexandria
Functional: meta-GGA SCAN
Structure: PBEsol geometry

Its density is 12471 kg/m³. The total DFT energy (no corrections) comes out at -316.94 eV per cell. The value obtained for the formation enthalpy at 0 K is 0.198 eV/atom. For the offset from the most stable computed form, the calculation gives 0.322 eV/atom.

a = 5.778 Å, b = 7.700 Å, c = 2.876 Å
α = 90.00°, β = 115.66°, γ = 90.00°
Space group C2/m (No. 12)
Inequivalent atoms, fractional coordinates:
1 Ta 0.000 0.000 0.000 x2
2 P 0.250 0.250 0.500 x4
3 Os 0.000 0.500 0.000 x2

***

No. 26
Compound: KLi2Te
Source: Alexandria
Functional: meta-GGA SCAN
Structure: PBEsol geometry

Its uncorrected formation energy is -66.6 kJ per mole of atoms. Its density is 2240 kg/m³. The total DFT energy (no corrections) comes out at -106.24 eV per cell.

a = 7.804 Å, b = 4.490 Å, c = 8.034 Å
α = 90.00°, β = 108.03°, γ = 90.00°
Space group C2/m (No. 12)
Inequivalent atoms, fractional coordinates:
1 K 0.000 0.000 0.000 x2
2 Li 0.202 0.000 0.611 x4
3 Te 0.000 0.500 0.500 x2

***

No. 27
Compound: InMo2Pt
Source: Alexandria
Functional: meta-GGA SCAN
Structure: PBEsol geometry

Its density is 12936 kg/m³. The total DFT energy (no corrections) comes out at -346.34 eV per cell. The value obtained for the formation enthalpy at 0 K is 0.045 eV/atom.

a = 4.004 Å, b = 4.004 Å, c = 8.034 Å
α = 90.00°, β = 90.00°, γ = 90.00°
Space group I-4m2 (No. 119)
Inequivalent atoms, fractional coordinates:
1 In 0.000 0.000 0.000 x2
2 Mo 0.000 0.000 0.500 x2
3 Mo 0.000 0.500 0.250 x2
4 Pt 0.000 0.500 0.750 x2